# Mn2Ir

Mn2Ir after structural relaxation (PBE, Alexandria).

The structure in POSCAR format:
```
Mn2Ir
1.0
1.833 -5.655 0.000
1.833 5.655 0.000
0.000 0.000 3.788
Mn Ir
4 2
Direct
0.589 0.411 0.750
0.411 0.589 0.250
0.249 0.751 0.750
0.751 0.249 0.250
0.910 0.090 0.750
0.090 0.910 0.250
```

## Properties
energy	-9.25	eV/atom
space group	No. 63
total magnetization	1.09	μB/cell
energy relative to the elements	-0.18	eV/atom
ρ	12.77	g/cm³